Entry 1:
## LiCaMg2 (SCAN)

Data for LiCaMg2 at its PBEsol-relaxed geometry.

Computed properties:
- V: 25.731 Å³ per atom
- Energy of formation from the pure elements: 9 meV per atom
- Energy above the most stable polymorph in this dataset: 0.0593 eV per atom
- E_tot: -5.491 eV/atom

```
LiCaMg2
1.0
4.718 0.000 0.000
0.000 4.718 0.000
-2.359 -2.359 4.623
Ca Mg Li
1 2 1
Direct
0.500 0.500 0.000
0.750 0.250 0.500
0.250 0.750 0.500
0.000 0.000 0.000
```

=====

Entry 2:
## LiCaMg2 (SCAN)

Data for LiCaMg2 at its PBEsol-relaxed geometry.

Computed properties:
- V: 25.008 Å³ per atom
- Energy of formation from the pure elements: -50 meV per atom
- Energy above the most stable polymorph in this dataset: 0.0000 eV per atom
- E_tot: -5.550 eV/atom

```
LiCaMg2
1.0
-1.264 2.548 2.149
-3.132 -1.695 0.168
2.522 -4.038 6.268
Ca Mg Li
1 2 1
Direct
0.500 0.500 0.000
0.000 0.000 0.705
0.000 0.000 0.295
0.500 0.500 0.500
```

=====

Entry 3:
## LiCaMg (SCAN)

Data for LiCaMg at its PBEsol-relaxed geometry.

Computed properties:
- V: 26.548 Å³ per atom
- Energy of formation from the pure elements: -41 meV per atom
- Energy above the most stable polymorph in this dataset: 0.0000 eV per atom
- E_tot: -5.717 eV/atom

```
LiCaMg
1.0
3.739 0.000 0.000
0.000 3.739 0.000
-1.869 -1.869 5.697
Ca Mg Li
1 1 1
Direct
0.001 0.001 0.002
0.311 0.311 0.621
0.688 0.688 0.376
```

=====

Entry 4:
## LiCaMg (SCAN)

Data for LiCaMg at its PBEsol-relaxed geometry.

Computed properties:
- V: 27.969 Å³ per atom
- Energy of formation from the pure elements: 14 meV per atom
- Energy above the most stable polymorph in this dataset: 0.0545 eV per atom
- E_tot: -5.662 eV/atom

```
LiCaMg
1.0
-2.412 -0.135 -2.645
-2.047 -4.302 2.087
-1.795 4.676 1.398
Ca Mg Li
1 1 1
Direct
0.999 0.000 0.000
0.499 0.667 0.333
0.501 0.333 0.667
```

=====

Entry 5:
## Li4Ca2MgSi2N6 (SCAN)

Data for Li4Ca2MgSi2N6 at its PBEsol-relaxed geometry.

Computed properties:
- V: 10.598 Å³ per atom
- Uncorrected formation energy: -1.18 eV/atom
- E_tot: -8.489 eV/atom

```
Li4Ca2MgSi2N6
1.0
5.587 0.011 0.018
-0.242 5.680 -0.009
-0.242 -2.673 5.012
Li Ca Mg Si N
4 2 1 2 6
Direct
0.626 0.332 0.989
0.626 0.989 0.332
0.374 0.668 0.011
0.374 0.011 0.668
0.000 0.678 0.322
0.000 0.322 0.678
0.000 0.000 0.000
0.367 0.321 0.321
0.633 0.679 0.679
0.311 0.623 0.623
0.689 0.377 0.377
0.252 0.322 0.032
0.252 0.032 0.322
0.748 0.678 0.968
0.748 0.968 0.678
```

=====

Entry 6:
## LiCaMn3 (SCAN)

Data for LiCaMn3 at its PBEsol-relaxed geometry.

Computed properties:
- V: 24.199 Å³ per atom
- Energy of formation from the pure elements: 1344 meV per atom
- E_tot: -12.020 eV/atom

```
LiCaMn3
1.0
-3.832 -1.897 -2.486
3.121 -2.567 -2.852
-0.196 -3.778 3.186
Ca Mn Li
1 3 1
Direct
0.000 0.000 0.000
0.000 0.500 0.000
0.000 0.000 0.500
0.500 0.000 0.000
0.500 0.500 0.500
```

=====

Number 1: theoretical density 1.5 g/cm³. Number 2: theoretical density 1.6 g/cm³. Number 3: theoretical density 1.5 g/cm³. Number 4: theoretical density 1.4 g/cm³. Number 5: theoretical density 2.8 g/cm³. Number 6: theoretical density 2.9 g/cm³.